A relaxed structure of CaTbCd6, computed with GGA-PBE.

Cell: 4.997 6.583 6.583 Å, 115.89 90.00 90.00°
Fractional positions:
Ca (0.500, 0.395, 0.605)
Tb (0.000, 0.104, 0.896)
Cd (0.000, 0.060, 0.381)
Cd (0.000, 0.619, 0.940)
Cd (0.000, 0.581, 0.419)
Cd (0.500, 0.435, 0.117)
Cd (0.500, 0.883, 0.565)
Cd (0.500, 0.923, 0.077)

Total magnetic moment in μB/f.u.: 0.00
SG: Amm2, No. 38
N(E_F) in states/eV/f.u.: 3.51
E in eV per formula unit: -14.3



A relaxed structure of CaTbCd, computed with GGA-PBE.

Cell: 5.489 5.489 6.828 Å, 90.00 90.00 119.47°
Fractional positions:
Ca (0.665, 0.335, 0.750)
Ca (0.335, 0.665, 0.250)
Cd (0.330, 0.670, 0.750)
Cd (0.670, 0.330, 0.250)
Tb (0.000, 0.000, 0.000)
Tb (0.000, 0.000, 0.500)

Total magnetic moment in μB/f.u.: 0.00
SG: Cmcm, No. 63
Distance to the lowest polymorph of the same formula in eV per atom: 0.046
N(E_F) in states/eV/f.u.: 5.24
E in eV per formula unit: -7.9



A relaxed structure of CaTb2Cd5, computed with GGA-PBE.

Cell: 5.123 5.123 8.533 Å, 107.47 107.47 90.00°
Fractional positions:
Ca (0.000, 0.000, 0.000)
Tb (0.738, 0.738, 0.476)
Tb (0.262, 0.262, 0.524)
Cd (0.500, 0.500, 0.000)
Cd (0.879, 0.379, 0.758)
Cd (0.379, 0.879, 0.758)
Cd (0.121, 0.621, 0.242)
Cd (0.621, 0.121, 0.242)

Total magnetic moment in μB/f.u.: 0.00
SG: I4/mmm, No. 139
N(E_F) in states/eV/f.u.: 5.04
E in eV per formula unit: -18.1